(1)
## ZrHgS2 (PBE)

Data for an optimized crystal structure of ZrHgS2.

Structure (CIF):
```
data_ZrHgS2
_chemical_formula_sum 'Zr1 Hg1 S2'
_space_group_name_H-M_alt 'P 4/m m m'
_space_group_IT_number 123
_space_group_name_Hall '-P 4 2'
_cell_length_a 4.6458
_cell_length_b 4.6458
_cell_length_c 3.4129
_cell_angle_alpha 90.00
_cell_angle_beta 90.00
_cell_angle_gamma 90.00
loop_
_atom_site_label
_atom_site_type_symbol
_atom_site_fract_x
_atom_site_fract_y
_atom_site_fract_z
_atom_site_occupancy
Zr1 Zr 0.0000 0.0000 0.0000 1
Hg1 Hg 0.5000 0.5000 0.0000 1
S1 S 0.0000 0.5000 0.5000 1
```

raw formation energy = -442.6 meV/atom

(2)
## SrCr4Te (PBE)

Data for an optimized crystal structure of SrCr4Te.

Structure (CIF):
```
data_SrCr4Te
_chemical_formula_sum 'Sr4 Cr16 Te4'
_space_group_name_H-M_alt 'F -4 3 m'
_space_group_IT_number 216
_space_group_name_Hall 'F -4 2 3'
_cell_length_a 7.3474
_cell_length_b 7.3474
_cell_length_c 7.3474
_cell_angle_alpha 90.00
_cell_angle_beta 90.00
_cell_angle_gamma 90.00
loop_
_atom_site_label
_atom_site_type_symbol
_atom_site_fract_x
_atom_site_fract_y
_atom_site_fract_z
_atom_site_occupancy
Sr1 Sr 0.0000 0.0000 0.0000 1
Cr1 Cr 0.1196 0.1196 0.3804 1
Te1 Te 0.2500 0.2500 0.7500 1
```

raw formation energy = 784.2 meV/atom

(3)
## CaGaSn2Ru2 (PBE)

Data for an optimized crystal structure of CaGaSn2Ru2.

Structure (CIF):
```
data_CaGaSn2Ru2
_chemical_formula_sum 'Ca1 Ga1 Sn2 Ru2'
_space_group_name_H-M_alt 'P 4/m m m'
_space_group_IT_number 123
_space_group_name_Hall '-P 4 2'
_cell_length_a 4.6680
_cell_length_b 4.6680
_cell_length_c 6.0135
_cell_angle_alpha 90.00
_cell_angle_beta 90.00
_cell_angle_gamma 90.00
loop_
_atom_site_label
_atom_site_type_symbol
_atom_site_fract_x
_atom_site_fract_y
_atom_site_fract_z
_atom_site_occupancy
Ca1 Ca 0.0000 0.0000 0.0000 1
Ga1 Ga 0.0000 0.0000 0.5000 1
Sn1 Sn 0.5000 0.5000 0.2402 1
Ru1 Ru 0.0000 0.5000 0.5000 1
```

calculated formation energy = -0.177 eV per atom

(4)
## CoP2 (PBE)

Data for an optimized crystal structure of CoP2.

Structure (CIF):
```
data_CoP2
_chemical_formula_sum 'Co2 P4'
_space_group_name_H-M_alt 'P 63/m m c'
_space_group_IT_number 194
_space_group_name_Hall '-P 6c 2c'
_cell_length_a 4.0870
_cell_length_b 4.0870
_cell_length_c 5.3146
_cell_angle_alpha 90.00
_cell_angle_beta 90.00
_cell_angle_gamma 120.00
loop_
_atom_site_label
_atom_site_type_symbol
_atom_site_fract_x
_atom_site_fract_y
_atom_site_fract_z
_atom_site_occupancy
Co1 Co 0.0000 0.0000 0.2500 1
P1 P 0.3333 0.6667 0.0439 1
```

calculated formation energy = 0.478 eV per atom

(5)
## ScTlSb2 (PBE)

Data for an optimized crystal structure of ScTlSb2.

Structure (CIF):
```
data_ScTlSb2
_chemical_formula_sum 'Sc3 Tl3 Sb6'
_space_group_name_H-M_alt 'R 3 m'
_space_group_IT_number 160
_space_group_name_Hall 'R 3 -2"'
_cell_length_a 4.5471
_cell_length_b 4.5471
_cell_length_c 20.3430
_cell_angle_alpha 90.00
_cell_angle_beta 90.00
_cell_angle_gamma 120.00
loop_
_atom_site_label
_atom_site_type_symbol
_atom_site_fract_x
_atom_site_fract_y
_atom_site_fract_z
_atom_site_occupancy
Sc1 Sc 0.0000 0.0000 0.0000 1
Tl1 Tl 0.0000 0.0000 0.8312 1
Sb1 Sb 0.0000 0.0000 0.4026 1
Sb2 Sb 0.0000 0.0000 0.6021 1
```

relative energy among the computed polymorphs = 107 meV per atom
raw formation energy = -254.8 meV/atom

(6)
## Tb2Dy2YHo2 (PBE)

Data for an optimized crystal structure of Tb2Dy2YHo2.

Structure (CIF):
```
data_Tb2Dy2YHo2
_chemical_formula_sum 'Tb6 Dy6 Y3 Ho6'
_space_group_name_H-M_alt 'R -3 m'
_space_group_IT_number 166
_space_group_name_Hall '-R 3 2"'
_cell_length_a 5.6490
_cell_length_b 5.6490
_cell_length_c 24.3583
_cell_angle_alpha 90.00
_cell_angle_beta 90.00
_cell_angle_gamma 120.00
loop_
_atom_site_label
_atom_site_type_symbol
_atom_site_fract_x
_atom_site_fract_y
_atom_site_fract_z
_atom_site_occupancy
Tb1 Tb 0.0000 0.0000 0.1411 1
Dy1 Dy 0.0000 0.0000 0.2838 1
Y1 Y 0.0000 0.0000 0.0000 1
Ho1 Ho 0.0000 0.0000 0.4279 1
```

calculated formation energy = 0.143 eV per atom

(7)
## TcIrSeN2 (PBE)

Data for an optimized crystal structure of TcIrSeN2.

Structure (CIF):
```
data_TcIrSeN2
_chemical_formula_sum 'Tc1 Ir1 Se1 N2'
_space_group_name_H-M_alt 'P 4/m m m'
_space_group_IT_number 123
_space_group_name_Hall '-P 4 2'
_cell_length_a 3.7065
_cell_length_b 3.7065
_cell_length_c 7.6840
_cell_angle_alpha 90.00
_cell_angle_beta 90.00
_cell_angle_gamma 90.00
loop_
_atom_site_label
_atom_site_type_symbol
_atom_site_fract_x
_atom_site_fract_y
_atom_site_fract_z
_atom_site_occupancy
Tc1 Tc 0.0000 0.0000 0.0000 1
Ir1 Ir 0.5000 0.5000 0.5000 1
Se1 Se 0.5000 0.5000 0.0000 1
N1 N 0.0000 0.5000 0.5000 1
```

relative energy among the computed polymorphs = 81 meV per atom
raw formation energy = 1153.9 meV/atom

(8)
## PaZnCdAu (PBE)

Data for an optimized crystal structure of PaZnCdAu.

Structure (CIF):
```
data_PaZnCdAu
_chemical_formula_sum 'Pa4 Zn4 Cd4 Au4'
_space_group_name_H-M_alt 'F -4 3 m'
_space_group_IT_number 216
_space_group_name_Hall 'F -4 2 3'
_cell_length_a 6.9425
_cell_length_b 6.9425
_cell_length_c 6.9425
_cell_angle_alpha 90.00
_cell_angle_beta 90.00
_cell_angle_gamma 90.00
loop_
_atom_site_label
_atom_site_type_symbol
_atom_site_fract_x
_atom_site_fract_y
_atom_site_fract_z
_atom_site_occupancy
Pa1 Pa 0.0000 0.0000 0.0000 1
Zn1 Zn 0.2500 0.2500 0.7500 1
Cd1 Cd 0.0000 0.0000 0.5000 1
Au1 Au 0.2500 0.2500 0.2500 1
```

calculated formation energy = -0.188 eV per atom